Entry 1:
Computed, not measured: a relaxed structure of PrHoCu2 at the PBE-GGA level of DFT.

Values from the calculation:
E above lowest polymorph   0 meV per atom
E_form   -0.200 eV per atom
Mass density   7885 kg/m3
Density of states at the Fermi level   3.02 states/eV/f.u.

Cell: 3.849 4.509 5.579 Å, 90.00 109.65 90.00°
Positions (direct):
Pr (0.000, 0.000, 0.000)
Ho (0.282, 0.500, 0.566)
Cu (0.580, 0.500, 0.158)
Cu (0.711, 0.000, 0.428)

=====

Entry 2:
Computed, not measured: a relaxed structure of Pr2Ho5Cu4 at the PBE-GGA level of DFT.

Values from the calculation:
E_form   0.083 eV per atom
Mass density   7729 kg/m3
Density of states at the Fermi level   13.88 states/eV/f.u.

Cell: 12.553 12.553 6.758 Å, 92.79 92.79 15.95°
Positions (direct):
Pr (0.097, 0.097, 0.178)
Pr (0.903, 0.903, 0.822)
Ho (0.133, 0.133, 0.675)
Ho (0.238, 0.238, 0.262)
Ho (0.500, 0.500, 0.500)
Ho (0.762, 0.762, 0.738)
Ho (0.867, 0.867, 0.325)
Cu (0.022, 0.022, 0.833)
Cu (0.325, 0.325, 0.016)
Cu (0.675, 0.675, 0.984)
Cu (0.978, 0.978, 0.167)

=====

Entry 3:
Computed, not measured: a relaxed structure of PrHo2Cu at the PBE-GGA level of DFT.

Values from the calculation:
E above lowest polymorph   40 meV per atom
E_form   -0.066 eV per atom
Mass density   8085 kg/m3
Density of states at the Fermi level   5.42 states/eV/f.u.

Cell: 4.950 7.500 6.406 Å, 90.00 112.64 90.00°
Positions (direct):
Pr (0.049, 0.250, 0.097)
Pr (0.951, 0.750, 0.903)
Ho (0.350, 0.031, 0.700)
Ho (0.350, 0.469, 0.700)
Ho (0.650, 0.531, 0.300)
Ho (0.650, 0.969, 0.300)
Cu (0.201, 0.750, 0.402)
Cu (0.799, 0.250, 0.598)